DFT (GGA-PBEsol) results for a relaxed SnSe2SBr crystal.

CIF file:
```
data_SnSe2SBr
_chemical_formula_sum 'Sn1 Se2 S1 Br1'
_cell_length_a 4.927
_cell_length_b 4.927
_cell_length_c 4.874
_cell_angle_alpha 90.00
_cell_angle_beta 90.00
_cell_angle_gamma 90.00
_symmetry_space_group_name_H-M 'P 4/m m m'
_symmetry_Int_Tables_number 123
_symmetry_space_group_name_Hall '-P 4 2'
loop_
_atom_site_label
_atom_site_fract_x
_atom_site_fract_y
_atom_site_fract_z
_atom_site_occupancy
Sn1 0.000 0.000 0.000 1
Se1 0.000 0.500 0.500 1
S1 0.500 0.500 0.500 1
Br1 0.500 0.500 0.000 1
```

As for the raw total energy: -3.507 eV/atom. As for the energy relative to the elements, uncorrected: 136 meV/atom.



DFT (GGA-PBEsol) results for a relaxed TlSe2SBr crystal.

CIF file:
```
data_TlSe2SBr
_chemical_formula_sum 'Tl1 Se2 S1 Br1'
_cell_length_a 4.876
_cell_length_b 4.876
_cell_length_c 5.208
_cell_angle_alpha 90.00
_cell_angle_beta 90.00
_cell_angle_gamma 90.00
_symmetry_space_group_name_H-M 'P 4/m m m'
_symmetry_Int_Tables_number 123
_symmetry_space_group_name_Hall '-P 4 2'
loop_
_atom_site_label
_atom_site_fract_x
_atom_site_fract_y
_atom_site_fract_z
_atom_site_occupancy
Tl1 0.000 0.000 0.000 1
Se1 0.000 0.500 0.500 1
S1 0.500 0.500 0.500 1
Br1 0.500 0.500 0.000 1
```

As for the raw total energy: -3.227 eV/atom. As for the energy relative to the elements, uncorrected: 90 meV/atom.



DFT (GGA-PBEsol) results for a relaxed WSeSBr2 crystal.

CIF file:
```
data_WSeSBr2
_chemical_formula_sum 'W1 Se1 S1 Br2'
_cell_length_a 4.838
_cell_length_b 4.838
_cell_length_c 5.034
_cell_angle_alpha 90.00
_cell_angle_beta 90.00
_cell_angle_gamma 90.00
_symmetry_space_group_name_H-M 'P 4/m m m'
_symmetry_Int_Tables_number 123
_symmetry_space_group_name_Hall '-P 4 2'
loop_
_atom_site_label
_atom_site_fract_x
_atom_site_fract_y
_atom_site_fract_z
_atom_site_occupancy
W1 0.000 0.000 0.000 1
Se1 0.500 0.500 0.000 1
S1 0.500 0.500 0.500 1
Br1 0.000 0.500 0.500 1
```

As for the raw total energy: -3.756 eV/atom. As for the energy relative to the elements, uncorrected: 1401 meV/atom.



DFT (GGA-PBEsol) results for a relaxed YSe2SBr crystal.

CIF file:
```
data_YSe2SBr
_chemical_formula_sum 'Y1 Se2 S1 Br1'
_cell_length_a 4.925
_cell_length_b 4.925
_cell_length_c 4.794
_cell_angle_alpha 90.00
_cell_angle_beta 90.00
_cell_angle_gamma 90.00
_symmetry_space_group_name_H-M 'P 4/m m m'
_symmetry_Int_Tables_number 123
_symmetry_space_group_name_Hall '-P 4 2'
loop_
_atom_site_label
_atom_site_fract_x
_atom_site_fract_y
_atom_site_fract_z
_atom_site_occupancy
Y1 0.000 0.000 0.000 1
Se1 0.000 0.500 0.500 1
S1 0.500 0.500 0.500 1
Br1 0.500 0.500 0.000 1
```

As for the raw total energy: -4.533 eV/atom. As for the energy relative to the elements, uncorrected: -378 meV/atom.